Compound: NaCeH8Pt2
Source: the Alexandria database
Functional: PBE
Structure: relaxed Values from VASP.

Values from the calculation:
The space-group type is R-3m. The energy comes out at -3.967 eV per atom. As for the density: 7.269 Mg/m³.

```
&SYSTEM
  ibrav = 0, nat = 12, ntyp = 4
/
ATOMIC_SPECIES
Na 22.99 Na.upf
Ce 140.12 Ce.upf
H 1.01 H.upf
Pt 195.08 Pt.upf
CELL_PARAMETERS angstrom
-1.610 3.368 -2.931
-3.954 -0.739 -2.519
-5.442 3.415 3.071
ATOMIC_POSITIONS crystal
Na 0.000 0.000 0.000
Ce 0.500 0.500 0.500
H 0.145 0.145 0.564
H 0.452 0.452 0.177
H 0.855 0.855 0.436
H 0.920 0.452 0.177
H 0.080 0.548 0.823
H 0.452 0.920 0.177
H 0.548 0.080 0.823
H 0.548 0.548 0.823
Pt 0.231 0.231 0.307
Pt 0.769 0.769 0.693
```